# 1
PmPr2ErSe4 | the Alexandria database | PBE-GGA | optimized geometry; energy relative to the elements, uncorrected = -1392.7 kJ/mol of formula units; total magnetic moment = 0.00 Bohr magnetons per cell; calculated density = 7.25 Mg/m³; total energy = -5.906 eV/atom; symmetry = P2/m (10)
1.0
7.2274 0.0000 0.0000
0.0000 4.1214 0.0000
-2.3574 0.0000 7.0011
Pm Pr Er Se
1 2 1 4
direct
0.0000 0.0000 0.0000 Pm
0.0000 0.5000 0.5000 Pr
0.5000 0.0000 0.5000 Pr
0.5000 0.5000 0.0000 Er
0.2532 0.5000 0.2383 Se
0.2628 0.0000 0.7668 Se
0.7372 0.0000 0.2332 Se
0.7468 0.5000 0.7617 Se


# 2
Pm3Pr2ErSe6 | the Alexandria database | PBE-GGA | optimized geometry; energy relative to the elements, uncorrected = -2098.5 kJ/mol of formula units; total magnetic moment = 0.00 Bohr magnetons per cell; calculated density = 7.20 Mg/m³; total energy = -5.919 eV/atom; symmetry = C2/m (12)
1.0
9.1256 -2.0870 0.0000
9.1256 2.0870 0.0000
-1.8920 0.0000 8.2265
Pm Pr Er Se
3 2 1 6
direct
0.0000 0.0000 0.0000 Pm
0.3282 0.3282 0.6657 Pm
0.6718 0.6718 0.3343 Pm
0.3312 0.3312 0.1633 Pr
0.6688 0.6688 0.8367 Pr
0.0000 0.0000 0.5000 Er
0.1603 0.1603 0.5765 Se
0.1641 0.1641 0.0867 Se
0.4973 0.4973 0.7377 Se
0.5027 0.5027 0.2623 Se
0.8359 0.8359 0.9133 Se
0.8397 0.8397 0.4235 Se


# 3
Pm4Pr3ErSe8 | the Alexandria database | PBE-GGA | optimized geometry; energy relative to the elements, uncorrected = -2795.7 kJ/mol of formula units; total magnetic moment = 0.00 Bohr magnetons per cell; calculated density = 7.11 Mg/m³; total energy = -5.922 eV/atom; symmetry = R-3m (166)
1.0
4.2116 2.4316 6.8513
-4.2116 2.4316 6.8513
0.0000 -4.8631 6.8513
Pm Pr Er Se
4 3 1 8
direct
0.0000 0.0000 0.0000 Pm
0.0000 0.5000 0.5000 Pm
0.5000 0.0000 0.5000 Pm
0.5000 0.5000 0.0000 Pm
0.0000 0.0000 0.5000 Pr
0.0000 0.5000 0.0000 Pr
0.5000 0.0000 0.0000 Pr
0.5000 0.5000 0.5000 Er
0.2521 0.2521 0.2521 Se
0.2559 0.2559 0.7401 Se
0.2559 0.7401 0.2559 Se
0.2599 0.7441 0.7441 Se
0.7401 0.2559 0.2559 Se
0.7441 0.2599 0.7441 Se
0.7441 0.7441 0.2599 Se
0.7479 0.7479 0.7479 Se


# 4
Pm2PrSmEr4 | the Alexandria database | PBE-GGA | optimized geometry; total magnetic moment = 0.00 Bohr magnetons per cell; calculated density = 8.02 Mg/m³; total energy = -4.641 eV/atom; symmetry = C2/m (12); energy of formation = 1.5 kJ per mole of atoms
1.0
6.2145 -3.5878 0.0000
6.2145 3.5878 0.0000
-4.1427 0.0000 11.6176
Pm Pr Sm Er
4 2 2 8
direct
0.0000 0.0000 0.0000 Pm
0.0000 0.0000 0.5000 Pm
0.0000 0.5000 0.0000 Pm
0.5000 0.0000 0.0000 Pm
0.5000 0.5000 0.0000 Pr
0.5000 0.5000 0.5000 Pr
0.0000 0.5000 0.5000 Sm
0.5000 0.0000 0.5000 Sm
0.2494 0.7508 0.2503 Er
0.2492 0.7506 0.7497 Er
0.2499 0.2499 0.2502 Er
0.2498 0.2498 0.7496 Er
0.7502 0.7502 0.2504 Er
0.7501 0.7501 0.7498 Er
0.7508 0.2494 0.2503 Er
0.7506 0.2492 0.7497 Er


# 5
PmPr2Sm2Er | the Alexandria database | PBE-GGA | optimized geometry; total magnetic moment = 0.00 Bohr magnetons per cell; calculated density = 7.31 Mg/m³; total energy = -4.662 eV/atom; symmetry = Pmma (51); energy of formation = 5.5 kJ per mole of atoms
1.0
7.1132 0.0000 0.0000
0.0000 5.7489 0.0000
0.0000 0.0000 9.9460
Pm Pr Sm Er
2 4 4 2
direct
0.2500 0.0000 0.1588 Pm
0.7500 0.0000 0.8412 Pm
0.0000 0.0000 0.5000 Pr
0.2500 0.5000 0.6761 Pr
0.5000 0.0000 0.5000 Pr
0.7500 0.5000 0.3239 Pr
0.2500 0.0000 0.8324 Sm
0.2500 0.5000 0.3351 Sm
0.7500 0.0000 0.1676 Sm
0.7500 0.5000 0.6649 Sm
0.0000 0.5000 0.0000 Er
0.5000 0.5000 0.0000 Er


# 6
PmPr2Sm3Er6 | the Alexandria database | PBE-GGA | optimized geometry; total magnetic moment = 0.00 Bohr magnetons per cell; calculated density = 8.05 Mg/m³; total energy = -4.638 eV/atom; symmetry = C2/m (12); energy of formation = 1.5 kJ per mole of atoms
1.0
3.1119 -5.3884 0.0000
3.1119 5.3884 0.0000
-2.0668 0.0000 11.5758
Pm Pr Sm Er
1 2 3 6
direct
0.0000 0.0000 0.0000 Pm
0.3334 0.6666 0.0000 Pr
0.6666 0.3334 0.0000 Pr
0.1667 0.8333 0.5000 Sm
0.5000 0.5000 0.5000 Sm
0.8333 0.1667 0.5000 Sm
0.0842 0.4173 0.2516 Er
0.2488 0.2488 0.7483 Er
0.4173 0.0842 0.2516 Er
0.5827 0.9158 0.7484 Er
0.7512 0.7512 0.2517 Er
0.9158 0.5827 0.7484 Er


# 7
PmPrSm2Er5 | the Alexandria database | PBE-GGA | optimized geometry; total magnetic moment = 0.00 Bohr magnetons per cell; calculated density = 8.07 Mg/m³; total energy = -4.385 eV/atom; symmetry = I4/mcm (140); energy of formation = 24.8 kJ per mole of atoms
1.0
-4.3698 4.3698 7.6683
4.3698 -4.3698 7.6683
4.3698 4.3698 -7.6683
Pm Pr Sm Er
2 2 4 10
direct
0.2500 0.7500 0.5000 Pm
0.7500 0.2500 0.5000 Pm
0.2500 0.2500 0.0000 Pr
0.7500 0.7500 0.0000 Pr
0.1164 0.6164 0.7327 Sm
0.3836 0.1164 0.5000 Sm
0.6164 0.8836 0.5000 Sm
0.8836 0.3836 0.2673 Sm
0.0000 0.0000 0.0000 Er
0.0724 0.1568 0.5000 Er
0.1568 0.6568 0.0844 Er
0.3432 0.4276 0.5000 Er
0.4276 0.9276 0.0844 Er
0.5000 0.5000 0.0000 Er
0.5724 0.0724 0.9156 Er
0.6568 0.5724 0.5000 Er
0.8432 0.3432 0.9156 Er
0.9276 0.8432 0.5000 Er


# 8
PmPr2Sm6Er | the Alexandria database | PBE-GGA | optimized geometry; total magnetic moment = 0.00 Bohr magnetons per cell; calculated density = 7.24 Mg/m³; total energy = -4.604 eV/atom; symmetry = C2/c (15); energy of formation = 11.1 kJ per mole of atoms
1.0
4.5978 -7.6524 0.0000
4.5978 7.6524 0.0000
-1.4786 0.0000 9.7538
Pm Pr Sm Er
2 4 12 2
direct
0.0178 0.9822 0.7500 Pm
0.9822 0.0178 0.2500 Pm
0.1961 0.2971 0.5423 Pr
0.2971 0.1961 0.0423 Pr
0.7029 0.8039 0.9577 Pr
0.8039 0.7029 0.4577 Pr
0.0168 0.5734 0.6886 Sm
0.1224 0.7457 0.0561 Sm
0.2543 0.8776 0.4439 Sm
0.2941 0.5051 0.8805 Sm
0.4266 0.9832 0.8114 Sm
0.4949 0.7059 0.6195 Sm
0.5051 0.2941 0.3805 Sm
0.5734 0.0168 0.1886 Sm
0.7059 0.4949 0.1195 Sm
0.7457 0.1224 0.5561 Sm
0.8776 0.2543 0.9439 Sm
0.9832 0.4266 0.3114 Sm
0.4078 0.5922 0.2500 Er
0.5922 0.4078 0.7500 Er